10
Lattice="5.654 0.000 0.000 -2.823 4.906 0.000 -0.042 -3.246 4.658" Properties=species:S:1:pos:R:3 comment="Sr2TaVO6, optimized geometry, DFT PBE with a Hubbard U" total_magnetization_mub_per_cell=2.0 energy_ev_per_atom=-8.0874 pbc="T T T"
Sr -0.005 1.641 1.139
Sr 2.794 0.020 3.519
Ta -0.021 -1.623 2.329
V 2.827 0.000 0.000
O 1.224 -0.710 1.059
O -1.291 2.399 3.234
O 0.112 -0.095 3.610
O 2.677 1.755 1.047
O 4.080 -0.738 1.424
O 1.565 2.370 3.599